No. 1
The following is a DFT calculation (PBE-GGA) of CaMgHg after structural relaxation.

a = 6.017 Å, b = 6.017 Å, c = 3.819 Å
α = 71.49°, β = 71.49°, γ = 37.01°
Sites, in units of the cell vectors:
Ca (0.994, 0.994, 0.006)
Mg (0.690, 0.690, 0.310)
Hg (0.316, 0.316, 0.684)

* D(E_F): 0.520 states/eV per atom
* SG: I4mm, No. 107
* energy relative to the elements: -316.6 meV per atom

---

No. 2
The following is a DFT calculation (PBE-GGA) of Tb7Dy3Th after structural relaxation.

a = 8.633 Å, b = 7.061 Å, c = 7.061 Å
α = 120.00°, β = 90.00°, γ = 90.00°
Sites, in units of the cell vectors:
Dy (0.781, 0.498, 0.997)
Dy (0.781, 0.003, 0.502)
Dy (0.781, 0.498, 0.502)
Th (0.449, 0.333, 0.667)
Tb (0.449, 0.832, 0.664)
Tb (0.120, 0.170, 0.830)
Tb (0.115, 0.667, 0.333)
Tb (0.120, 0.170, 0.339)
Tb (0.120, 0.661, 0.830)
Tb (0.449, 0.832, 0.168)
Tb (0.449, 0.336, 0.168)

* ΔE to the lowest computed polymorph: 32.5 meV per atom
* D(E_F): 1.572 states/eV per atom
* SG: P3m1, No. 156
* energy relative to the elements: 187.7 meV per atom

---

No. 3
The following is a DFT calculation (PBE-GGA) of Pm2Al4GaCu3 after structural relaxation.

a = 4.233 Å, b = 4.233 Å, c = 10.261 Å
α = 90.00°, β = 90.00°, γ = 90.00°
Sites, in units of the cell vectors:
Al (0.000, 0.500, 0.361)
Al (0.500, 0.500, 0.000)
Al (0.000, 0.000, 0.000)
Al (0.500, 0.000, 0.639)
Cu (0.500, 0.000, 0.873)
Cu (0.000, 0.000, 0.500)
Cu (0.000, 0.500, 0.127)
Pm (0.000, 0.500, 0.751)
Pm (0.500, 0.000, 0.249)
Ga (0.500, 0.500, 0.500)

* D(E_F): 0.405 states/eV per atom
* SG: P-4m2, No. 115
* energy relative to the elements: -454.7 meV per atom

---

No. 4
The following is a DFT calculation (PBE-GGA) of MgPd2PtI after structural relaxation.

a = 4.901 Å, b = 5.255 Å, c = 4.901 Å
α = 90.00°, β = 90.00°, γ = 90.00°
Sites, in units of the cell vectors:
Mg (0.000, 0.500, 0.000)
Pd (0.500, 0.000, 0.000)
Pd (0.000, 0.000, 0.500)
I (0.000, 0.000, 0.000)
Pt (0.500, 0.500, 0.500)

* E: -0.228 Ry per atom
* D(E_F): 0.540 states/eV per atom
* SG: P4/mmm, No. 123

---

- Look up the D(E_F) of the third one.
  0.405 states/eV per atom